1.
## CuI2NO (meta-GGA SCAN)

Data for CuI2NO at its PBEsol-relaxed geometry.

Unit cell a=5.4055 b=5.4055 c=3.5177 alpha=90.00 beta=90.00 gamma=90.00
Closest atoms and distances in Å follow each position.
Fractional coordinates of all 5 atoms:
Cu1 0.0000 0.0000 0.0000  2 N 1.76
I1 0.0000 0.5000 0.0000  2 Cu 2.70
I2 0.5000 0.0000 0.0000  2 Cu 2.70
N1 0.0000 0.0000 0.5000  2 Cu 1.76
O1 0.5000 0.5000 0.5000  8 I 3.22, 2 O 3.52

Properties
- N(E_F): 4.22 states/eV per cell
- Total energy: -19.68 eV/atom
- ΔE_f (raw): 1.16 eV/atom
- Space-group type: P4/mmm, No. 123

---

2.
## CuIN2O (meta-GGA SCAN)

Data for CuIN2O at its PBEsol-relaxed geometry.

Unit cell a=3.8234 b=3.8234 c=4.5737 alpha=90.00 beta=90.00 gamma=90.00
Closest atoms and distances in Å follow each position.
Fractional coordinates of all 5 atoms:
Cu1 0.0000 0.0000 0.0000  4 I 2.70, 8 N 2.98
I1 0.5000 0.5000 0.0000  2 O 2.29
N1 0.0000 0.5000 0.5000  2 O 1.91
N2 0.5000 0.0000 0.5000  2 O 1.91
O1 0.5000 0.5000 0.5000  4 N 1.91

Properties
- N(E_F): 1.81 states/eV per cell
- Total energy: -13.14 eV/atom
- ΔE_f (raw): 2.21 eV/atom
- Space-group type: P4/mmm, No. 123

---

3.
## CuIN2O (meta-GGA SCAN)

Data for CuIN2O at its PBEsol-relaxed geometry.

Unit cell a=3.4824 b=3.4824 c=7.1655 alpha=90.00 beta=90.00 gamma=90.00
Closest atoms and distances in Å follow each position.
Fractional coordinates of all 5 atoms:
Cu1 0.0000 0.0000 0.0000  4 N 1.74
I1 0.0000 0.0000 0.5000  4 O 2.46
N1 0.0000 0.5000 0.0000  2 Cu 1.74
N2 0.5000 0.0000 0.0000  2 Cu 1.74
O1 0.5000 0.5000 0.5000  4 I 2.46

Properties
- N(E_F): 2.35 states/eV per cell
- Total energy: -13.83 eV/atom
- ΔE_f (raw): 1.52 eV/atom
- Space-group type: P4/mmm, No. 123